Record 1
An optimized crystal structure of Na2La2Pb, computed with PBEsol.

a = 4.235 Å, b = 4.235 Å, c = 10.089 Å
α = 102.11°, β = 102.11°, γ = 90.00°
Element x y z (fractional)
Na1 0.750 0.250 0.500
Na2 0.250 0.750 0.500
La1 0.421 0.421 0.842
La2 0.579 0.579 0.158
Pb1 0.000 0.000 0.000

Formation energy from the elements = -4.1 kJ/mol of formula units
Crystal system = tetragonal
Space group = I4/mmm, No. 139

---

Record 2
An optimized crystal structure of LiScPb, computed with PBEsol.

a = 4.473 Å, b = 4.473 Å, c = 4.473 Å
α = 60.00°, β = 60.00°, γ = 60.00°
Element x y z (fractional)
Li1 0.250 0.250 0.250
Sc1 0.500 0.500 0.500
Pb1 0.000 0.000 0.000

Formation energy from the elements = -68.9 kJ/mol of formula units
Crystal system = cubic
Space group = F-43m, No. 216

---

Record 3
An optimized crystal structure of Co2PRh, computed with PBEsol.

a = 2.677 Å, b = 3.631 Å, c = 4.822 Å
α = 90.00°, β = 105.06°, γ = 90.00°
Element x y z (fractional)
Co1 0.864 0.000 0.226
Co2 0.136 0.000 0.774
P1 0.500 0.500 0.000
Rh1 0.500 0.500 0.500

Formation energy from the elements = -86.8 kJ/mol of formula units
Crystal system = monoclinic
Space group = P2/m, No. 10

---

Record 4
An optimized crystal structure of LiCaBe2, computed with PBEsol.

a = 3.759 Å, b = 3.981 Å, c = 5.314 Å
α = 90.00°, β = 110.72°, γ = 90.00°
Element x y z (fractional)
Li1 0.762 0.500 0.525
Ca1 0.464 0.000 0.928
Be1 0.103 0.500 0.206
Be2 0.171 0.000 0.341

Formation energy from the elements = 137.5 kJ/mol of formula units
Crystal system = orthorhombic
E above lowest polymorph = 0.0 meV per atom
Space group = Amm2, No. 38

---

Copy entry 4 word for word.
An optimized crystal structure of LiCaBe2, computed with PBEsol.

a = 3.759 Å, b = 3.981 Å, c = 5.314 Å
α = 90.00°, β = 110.72°, γ = 90.00°
Element x y z (fractional)
Li1 0.762 0.500 0.525
Ca1 0.464 0.000 0.928
Be1 0.103 0.500 0.206
Be2 0.171 0.000 0.341

Formation energy from the elements = 137.5 kJ/mol of formula units
Crystal system = orthorhombic
E above lowest polymorph = 0.0 meV per atom
Space group = Amm2, No. 38

---

- Among the records above, which one has the highest formation energy from the elements?
  LiCaBe2